Entry 1:
Density functional theory data (PBE-GGA) for crystalline GdAgTeO at its relaxed geometry.

a b c (Å): 11.1291 11.1291 11.1291
angles (deg): 25.55 25.55 25.55
Fractional coordinates of all 8 atoms:
Gd 0.2380 0.2380 0.2380
Gd 0.7620 0.7620 0.7620
Ag 0.3684 0.3684 0.3684
Ag 0.6316 0.6316 0.6316
Te 0.1236 0.1236 0.1236
Te 0.8764 0.8764 0.8764
O 0.2996 0.2996 0.2996
O 0.7004 0.7004 0.7004

Results
Space-group type: R-3m (166)


Entry 2:
Density functional theory data (PBE-GGA) for crystalline GdTmAg2O4 at its relaxed geometry.

a b c (Å): 3.4787 3.4787 12.4828
angles (deg): 90.00 90.00 120.00
Fractional coordinates of all 8 atoms:
Gd 0.0000 0.0000 0.0000
Tm 0.0000 0.0000 0.5000
Ag 0.3333 0.6667 0.7470
Ag 0.6667 0.3333 0.2530
O 0.3333 0.6667 0.5811
O 0.3333 0.6667 0.9128
O 0.6667 0.3333 0.0872
O 0.6667 0.3333 0.4189

Results
Space-group type: P-3m1 (164)


Entry 3:
Density functional theory data (PBE-GGA) for crystalline GdAgOs at its relaxed geometry.

a b c (Å): 6.5152 6.5152 6.5152
angles (deg): 90.00 90.00 90.00
Fractional coordinates of all 12 atoms:
Gd 0.0000 0.0000 0.0000
Gd 0.0000 0.5000 0.5000
Gd 0.5000 0.0000 0.5000
Gd 0.5000 0.5000 0.0000
Ag 0.0000 0.0000 0.5000
Ag 0.0000 0.5000 0.0000
Ag 0.5000 0.0000 0.0000
Ag 0.5000 0.5000 0.5000
Os 0.2500 0.2500 0.7500
Os 0.2500 0.7500 0.2500
Os 0.7500 0.2500 0.2500
Os 0.7500 0.7500 0.7500

Results
Space-group type: F-43m (216)


Entry 4:
Density functional theory data (PBE-GGA) for crystalline TbGdAg2P4 at its relaxed geometry.

a b c (Å): 3.8622 3.8622 10.2078
angles (deg): 90.00 90.00 90.00
Fractional coordinates of all 8 atoms:
Tb 0.0000 0.0000 0.0000
Gd 0.5000 0.5000 0.4423
Ag 0.0000 0.5000 0.7218
Ag 0.5000 0.0000 0.7218
P 0.0000 0.0000 0.5377
P 0.0000 0.5000 0.2204
P 0.5000 0.0000 0.2204
P 0.5000 0.5000 0.9061

Results
Space-group type: P4mm (99)


Entry 5:
Density functional theory data (PBE-GGA) for crystalline GdAgPb at its relaxed geometry.

a b c (Å): 6.8631 6.8631 6.8631
angles (deg): 90.00 90.00 90.00
Fractional coordinates of all 12 atoms:
Gd 0.0000 0.0000 0.0000
Gd 0.0000 0.5000 0.5000
Gd 0.5000 0.0000 0.5000
Gd 0.5000 0.5000 0.0000
Ag 0.2500 0.2500 0.2500
Ag 0.2500 0.7500 0.7500
Ag 0.7500 0.2500 0.7500
Ag 0.7500 0.7500 0.2500
Pb 0.0000 0.0000 0.5000
Pb 0.0000 0.5000 0.0000
Pb 0.5000 0.0000 0.0000
Pb 0.5000 0.5000 0.5000

Results
Space-group type: F-43m (216)


Entry 6:
Density functional theory data (PBE-GGA) for crystalline PrGdAg2Pb2 at its relaxed geometry.

a b c (Å): 4.8730 4.8730 7.6088
angles (deg): 90.00 90.00 120.00
Fractional coordinates of all 6 atoms:
Pr 0.0000 0.0000 0.0000
Gd 0.0000 0.0000 0.5009
Ag 0.3333 0.6667 0.2005
Ag 0.6667 0.3333 0.6863
Pb 0.3333 0.6667 0.7754
Pb 0.6667 0.3333 0.2851

Results
Space-group type: P3m1 (156)


Entry 7:
Density functional theory data (PBE-GGA) for crystalline GdAgPbS3 at its relaxed geometry.

a b c (Å): 7.5195 4.0393 9.8271
angles (deg): 90.00 105.63 90.00
Fractional coordinates of all 12 atoms:
Gd 0.2018 0.2500 0.1522
Gd 0.7982 0.7500 0.8478
Ag 0.3948 0.7500 0.4102
Ag 0.6052 0.2500 0.5898
Pb 0.2200 0.7500 0.6944
Pb 0.7800 0.2500 0.3056
S 0.0646 0.2500 0.8634
S 0.2014 0.2500 0.4487
S 0.4551 0.7500 0.1704
S 0.5449 0.2500 0.8296
S 0.7986 0.7500 0.5513
S 0.9354 0.7500 0.1366

Results
Space-group type: P2_1/m (11)


Entry 8:
Density functional theory data (PBE-GGA) for crystalline GdAgPbS3 at its relaxed geometry.

a b c (Å): 13.3695 4.0957 10.9782
angles (deg): 90.00 90.00 90.00
Fractional coordinates of all 24 atoms:
Gd 0.0128 0.2500 0.1632
Gd 0.4872 0.7500 0.6632
Gd 0.5128 0.2500 0.3368
Gd 0.9872 0.7500 0.8368
Ag 0.0198 0.7500 0.4112
Ag 0.4802 0.2500 0.9112
Ag 0.5198 0.7500 0.0888
Ag 0.9802 0.2500 0.5888
Pb 0.2431 0.2500 0.5237
Pb 0.2569 0.7500 0.0237
Pb 0.7431 0.2500 0.9763
Pb 0.7569 0.7500 0.4763
S 0.1074 0.2500 0.9382
S 0.1066 0.7500 0.6277
S 0.1396 0.7500 0.2328
S 0.3604 0.2500 0.7328
S 0.3934 0.2500 0.1277
S 0.3926 0.7500 0.4382
S 0.6074 0.2500 0.5618
S 0.6066 0.7500 0.8723
S 0.6396 0.7500 0.2672
S 0.8604 0.2500 0.7672
S 0.8934 0.2500 0.3723
S 0.8926 0.7500 0.0618

Results
Space-group type: Pnma (62)


Entry 9:
Density functional theory data (PBE-GGA) for crystalline GdAgPbS3 at its relaxed geometry.

a b c (Å): 11.7268 4.1396 11.6897
angles (deg): 90.00 90.00 90.00
Fractional coordinates of all 24 atoms:
Gd 0.0243 0.2500 0.1711
Gd 0.4757 0.7500 0.6711
Gd 0.5243 0.2500 0.3289
Gd 0.9757 0.7500 0.8289
Ag 0.2455 0.7500 0.3076
Ag 0.2545 0.2500 0.8076
Ag 0.7455 0.7500 0.1924
Ag 0.7545 0.2500 0.6924
Pb 0.1651 0.2500 0.5153
Pb 0.3349 0.7500 0.0153
Pb 0.6651 0.2500 0.9847
Pb 0.8349 0.7500 0.4847
S 0.0325 0.7500 0.3461
S 0.0870 0.2500 0.9345
S 0.2392 0.7500 0.6717
S 0.2608 0.2500 0.1717
S 0.4130 0.7500 0.4345
S 0.4675 0.2500 0.8461
S 0.5325 0.7500 0.1539
S 0.5870 0.2500 0.5655
S 0.7392 0.7500 0.8283
S 0.7608 0.2500 0.3283
S 0.9130 0.7500 0.0655
S 0.9675 0.2500 0.6539

Results
Space-group type: Pnma (62)


Entry 10:
Density functional theory data (PBE-GGA) for crystalline GdAgPbS3 at its relaxed geometry.

a b c (Å): 8.9716 8.9716 8.4069
angles (deg): 103.48 103.48 25.64
Fractional coordinates of all 12 atoms:
Gd 0.1640 0.1640 0.0884
Gd 0.8360 0.8360 0.9116
Ag 0.4759 0.4759 0.7876
Ag 0.5241 0.5241 0.2124
Pb 0.1332 0.1332 0.5736
Pb 0.8668 0.8668 0.4264
S 0.0000 0.0000 0.0000
S 0.3195 0.3195 0.6776
S 0.3273 0.3273 0.1395
S 0.5000 0.5000 0.5000
S 0.6727 0.6727 0.8605
S 0.6805 0.6805 0.3224

Results
Space-group type: C2/m (12)


Entry 11:
Density functional theory data (PBE-GGA) for crystalline GdAgPbS3 at its relaxed geometry.

a b c (Å): 8.1622 4.1953 16.1140
angles (deg): 90.00 90.00 90.00
Fractional coordinates of all 24 atoms:
Gd 0.2387 0.2500 0.0370
Gd 0.2613 0.7500 0.5370
Gd 0.7387 0.2500 0.4630
Gd 0.7613 0.7500 0.9630
Ag 0.1227 0.2500 0.3661
Ag 0.3773 0.7500 0.8661
Ag 0.6227 0.2500 0.1339
Ag 0.8773 0.7500 0.6339
Pb 0.0855 0.2500 0.7693
Pb 0.4145 0.7500 0.2693
Pb 0.5855 0.2500 0.7307
Pb 0.9145 0.7500 0.2307
S 0.0355 0.2500 0.5884
S 0.1144 0.7500 0.9458
S 0.1813 0.2500 0.2087
S 0.3187 0.7500 0.7087
S 0.3856 0.2500 0.4458
S 0.4645 0.7500 0.0884
S 0.5355 0.2500 0.9116
S 0.6144 0.7500 0.5542
S 0.6813 0.2500 0.2913
S 0.8187 0.7500 0.7913
S 0.8856 0.2500 0.0542
S 0.9645 0.7500 0.4116

Results
Space-group type: Pnma (62)


Entry 12:
Density functional theory data (PBE-GGA) for crystalline GdAgPbS3 at its relaxed geometry.

a b c (Å): 6.9117 6.9117 10.4673
angles (deg): 90.00 90.00 145.97
Fractional coordinates of all 12 atoms:
Gd 0.0000 0.0000 0.0000
Gd 0.0000 0.0000 0.5000
Ag 0.4666 0.5334 0.7500
Ag 0.5334 0.4666 0.2500
Pb 0.2485 0.7515 0.2500
Pb 0.7515 0.2485 0.7500
S 0.0881 0.9119 0.7500
S 0.3595 0.6405 0.5541
S 0.3595 0.6405 0.9459
S 0.6405 0.3595 0.0541
S 0.6405 0.3595 0.4459
S 0.9119 0.0881 0.2500

Results
Space-group type: Cmcm (63)


Entry 13:
Density functional theory data (PBE-GGA) for crystalline GdAgPbS3 at its relaxed geometry.

a b c (Å): 10.5256 4.0597 13.2172
angles (deg): 90.00 90.00 90.00
Fractional coordinates of all 24 atoms:
Gd 0.0196 0.2500 0.2386
Gd 0.4804 0.7500 0.7386
Gd 0.5196 0.2500 0.2614
Gd 0.9804 0.7500 0.7614
Ag 0.2337 0.2500 0.7196
Ag 0.2663 0.7500 0.2196
Ag 0.7337 0.2500 0.7804
Ag 0.7663 0.7500 0.2804
Pb 0.2145 0.7500 0.4980
Pb 0.2855 0.2500 0.9980
Pb 0.7145 0.7500 0.0020
Pb 0.7855 0.2500 0.5020
S 0.0336 0.2500 0.6153
S 0.0787 0.7500 0.1061
S 0.2353 0.7500 0.8395
S 0.2647 0.2500 0.3395
S 0.4213 0.2500 0.6061
S 0.4664 0.7500 0.1153
S 0.5336 0.2500 0.8847
S 0.5787 0.7500 0.3939
S 0.7353 0.7500 0.6605
S 0.7647 0.2500 0.1605
S 0.9213 0.2500 0.8939
S 0.9664 0.7500 0.3847

Results
Space-group type: Pnma (62)


Entry 14:
Density functional theory data (PBE-GGA) for crystalline GdAgPbS3 at its relaxed geometry.

a b c (Å): 11.7000 4.1258 11.8082
angles (deg): 90.00 90.07 90.00
Fractional coordinates of all 24 atoms:
Gd 0.1702 0.2500 0.0253
Gd 0.3297 0.2500 0.5251
Gd 0.6703 0.7500 0.4749
Gd 0.8298 0.7500 0.9747
Ag 0.1903 0.7500 0.7449
Ag 0.3095 0.7500 0.2445
Ag 0.6905 0.2500 0.7555
Ag 0.8097 0.2500 0.2551
Pb 0.0171 0.7500 0.3358
Pb 0.4823 0.7500 0.8359
Pb 0.5177 0.2500 0.1641
Pb 0.9829 0.2500 0.6642
S 0.0658 0.7500 0.9125
S 0.1547 0.7500 0.5328
S 0.1719 0.2500 0.2603
S 0.3281 0.2500 0.7598
S 0.3450 0.7500 0.0329
S 0.4341 0.7500 0.4125
S 0.5659 0.2500 0.5875
S 0.6550 0.2500 0.9671
S 0.6719 0.7500 0.2402
S 0.8281 0.7500 0.7397
S 0.8453 0.2500 0.4672
S 0.9342 0.2500 0.0875

Results
Space-group type: P2_1/m (11)


Entry 15:
Density functional theory data (PBE-GGA) for crystalline GdAgPbSeS2 at its relaxed geometry.

a b c (Å): 7.0471 7.0471 10.8341
angles (deg): 90.00 90.00 146.51
Fractional coordinates of all 12 atoms:
Gd 0.0000 0.0000 0.0000
Gd 0.0000 0.0000 0.5000
Ag 0.4686 0.5314 0.7500
Ag 0.5314 0.4686 0.2500
Pb 0.2320 0.7680 0.2500
Pb 0.7680 0.2320 0.7500
Se 0.0985 0.9015 0.7500
Se 0.9015 0.0985 0.2500
S 0.3644 0.6356 0.5589
S 0.3644 0.6356 0.9411
S 0.6356 0.3644 0.0589
S 0.6356 0.3644 0.4411

Results
Space-group type: Cmcm (63)


Entry 16:
Density functional theory data (PBE-GGA) for crystalline GdAgPbSe3 at its relaxed geometry.

a b c (Å): 8.5027 4.3254 16.7633
angles (deg): 90.00 90.00 90.00
Fractional coordinates of all 24 atoms:
Gd 0.2491 0.2500 0.0329
Gd 0.2509 0.7500 0.5329
Gd 0.7491 0.2500 0.4671
Gd 0.7509 0.7500 0.9671
Ag 0.1239 0.2500 0.3615
Ag 0.3761 0.7500 0.8615
Ag 0.6239 0.2500 0.1385
Ag 0.8761 0.7500 0.6385
Pb 0.0716 0.2500 0.7760
Pb 0.4284 0.7500 0.2760
Pb 0.5716 0.2500 0.7240
Pb 0.9284 0.7500 0.2240
Se 0.0299 0.2500 0.5879
Se 0.1104 0.7500 0.9421
Se 0.1896 0.2500 0.2061
Se 0.3104 0.7500 0.7061
Se 0.3896 0.2500 0.4421
Se 0.4701 0.7500 0.0879
Se 0.5299 0.2500 0.9121
Se 0.6104 0.7500 0.5579
Se 0.6896 0.2500 0.2939
Se 0.8104 0.7500 0.7939
Se 0.8896 0.2500 0.0579
Se 0.9701 0.7500 0.4121

Results
Space-group type: Pnma (62)


Entry 17:
Density functional theory data (PBE-GGA) for crystalline GdAgPbSe3 at its relaxed geometry.

a b c (Å): 13.7879 4.1577 11.0221
angles (deg): 90.00 90.00 90.00
Fractional coordinates of all 24 atoms:
Gd 0.0153 0.2500 0.1718
Gd 0.4847 0.7500 0.6718
Gd 0.5153 0.2500 0.3282
Gd 0.9847 0.7500 0.8282
Ag 0.0083 0.7500 0.4102
Ag 0.4917 0.2500 0.9102
Ag 0.5083 0.7500 0.0898
Ag 0.9917 0.2500 0.5898
Pb 0.2257 0.2500 0.4578
Pb 0.2743 0.7500 0.9578
Pb 0.7257 0.2500 0.0422
Pb 0.7743 0.7500 0.5422
Se 0.1071 0.2500 0.9358
Se 0.1189 0.7500 0.6249
Se 0.1499 0.7500 0.2469
Se 0.3501 0.2500 0.7469
Se 0.3811 0.2500 0.1249
Se 0.3929 0.7500 0.4358
Se 0.6071 0.2500 0.5642
Se 0.6189 0.7500 0.8751
Se 0.6499 0.7500 0.2531
Se 0.8501 0.2500 0.7531
Se 0.8811 0.2500 0.3751
Se 0.8929 0.7500 0.0642

Results
Space-group type: Pnma (62)


Entry 18:
Density functional theory data (PBE-GGA) for crystalline GdAgPbSe3 at its relaxed geometry.

a b c (Å): 7.8487 4.1563 10.1235
angles (deg): 90.00 105.80 90.00
Fractional coordinates of all 12 atoms:
Gd 0.1959 0.2500 0.1599
Gd 0.8041 0.7500 0.8401
Ag 0.4094 0.7500 0.4078
Ag 0.5906 0.2500 0.5922
Pb 0.2383 0.7500 0.7007
Pb 0.7617 0.2500 0.2993
Se 0.0716 0.2500 0.8626
Se 0.2087 0.2500 0.4561
Se 0.4508 0.7500 0.1585
Se 0.5492 0.2500 0.8415
Se 0.7913 0.7500 0.5439
Se 0.9284 0.7500 0.1374

Results
Space-group type: P2_1/m (11)


| no. | magnetic moment (μB per atom) | VASP energy (eV for the cell shown) |
| --- | --- | --- |
| 1 | 0.00 | -39.2 |
| 2 | 0.00 | -52.9 |
| 3 | 0.02 | -67.7 |
| 4 | 0.00 | -42.3 |
| 5 | 0.00 | -49.5 |
| 6 | 0.00 | -25.2 |
| 7 | 0.00 | -59.4 |
| 8 | 0.00 | -119.2 |
| 9 | 0.00 | -118.4 |
| 10 | 0.00 | -59.7 |
| 11 | 0.00 | -118.6 |
| 12 | 0.00 | -59.3 |
| 13 | 0.00 | -118.8 |
| 14 | 0.00 | -118.4 |
| 15 | 0.00 | -57.8 |
| 16 | 0.00 | -109.2 |
| 17 | 0.00 | -110.1 |
| 18 | 0.00 | -55.0 |